# FeSb2F8

A relaxed structure of FeSb2F8 (PBE with a Hubbard U, Alexandria via LeMat-Bulk).

POSCAR file:
```
FeSb2F8
1.0
4.875 -3.574 0.000
4.875 3.574 0.000
-1.681 0.000 4.869
Fe Sb F
1 2 8
direct
0.000 0.000 0.000
0.331 0.331 0.697
0.669 0.669 0.303
0.059 0.654 0.763
0.134 0.134 0.750
0.346 0.941 0.237
0.402 0.402 0.113
0.598 0.598 0.887
0.654 0.059 0.763
0.866 0.866 0.250
0.941 0.346 0.237
```

## Properties
Fermi-level density of states (states/eV per cell): 0.00
Electronic total energy (eV per formula unit): -54.97